Entry 1:
DFT (PBE) results for a relaxed Gd3YN crystal.

Properties
SG ... No. 221
Fermi-level density of states ... 1.3067 states/eV per atom
Final energy ... -11.92 eV per atom
ΔE_f (raw) ... -2.551 eV/f.u.

Lattice parameters (Å, degrees): 5.0249 5.0249 5.0249 90.00 90.00 90.00
Closest atoms and distances in Å follow each position.
Atoms (fractional coordinates):
Gd (0.0000, 0.5000, 0.0000)  2 N 2.51
Y (0.5000, 0.5000, 0.5000)  12 Gd 3.55
Gd (0.5000, 0.0000, 0.0000)  2 N 2.51
N (0.0000, 0.0000, 0.0000)  6 Gd 2.51
Gd (0.0000, 0.0000, 0.5000)  2 N 2.51

=====

Entry 2:
DFT (PBE) results for a relaxed Gd2YN crystal.

Properties
SG ... No. 166
Fermi-level density of states ... 0.9727 states/eV per atom
Final energy ... -11.39 eV per atom
ΔE_f (raw) ... -2.590 eV/f.u.

Lattice parameters (Å, degrees): 3.5064 3.5064 9.7238 79.61 79.61 60.00
Closest atoms and distances in Å follow each position.
Atoms (fractional coordinates):
N (0.5000, 0.5000, 0.5000)  6 Gd 2.43
Gd (0.8806, 0.8806, 0.3581)  3 N 2.43
Gd (0.1194, 0.1194, 0.6419)  3 N 2.43
Y (0.0000, 0.0000, 0.0000)  2 Gd 3.41, 6 Y 3.51

=====

Entry 3:
DFT (PBE) results for a relaxed GdY2N crystal.

Properties
SG ... No. 166
Fermi-level density of states ... 1.2755 states/eV per atom
Offset from the most stable computed form ... 0 meV/atom
Final energy ... -9.52 eV per atom
ΔE_f (raw) ... -2.753 eV/f.u.

Lattice parameters (Å, degrees): 3.4715 3.4715 9.6572 79.65 79.65 60.00
Closest atoms and distances in Å follow each position.
Atoms (fractional coordinates):
Y (0.1196, 0.1196, 0.6412)  3 N 2.41
N (0.5000, 0.5000, 0.5000)  6 Y 2.41
Y (0.8804, 0.8804, 0.3588)  3 N 2.41
Gd (0.0000, 0.0000, 0.0000)  2 Y 3.39, 6 Gd 3.47

=====

Entry 4:
DFT (PBE) results for a relaxed GdY2N crystal.

Properties
SG ... No. 123
Fermi-level density of states ... 1.3658 states/eV per atom
Offset from the most stable computed form ... 494 meV/atom
Final energy ... -9.03 eV per atom
ΔE_f (raw) ... -0.776 eV/f.u.

Lattice parameters (Å, degrees): 3.1770 3.1770 8.9117 90.00 90.00 90.00
Closest atoms and distances in Å follow each position.
Atoms (fractional coordinates):
N (0.5000, 0.5000, 0.0000)  8 Y 2.65
Gd (0.5000, 0.5000, 0.5000)  4 Gd 3.18
Y (0.0000, 0.0000, 0.1587)  4 N 2.65, 1 Y 2.83
Y (0.0000, 0.0000, 0.8413)  4 N 2.65, 1 Y 2.83